# 1
Below is Cs2ScAuBr6 after structural relaxation, with properties calculated at the PBE level.

Computed properties:
total DFT energy (no corrections)	-3.5444	eV/atom

Cell lengths 7.9479, 7.9479, 19.5073 Å; angles 90.00, 90.00, 120.00 degrees
Space group R3 (No. 146, hexagonal axes)
Inequivalent atoms, fractional coordinates:
Cs: 0.0000 0.0000 0.0000 [3 per cell]
Cs: 0.0000 0.0000 0.4964 [3 per cell]
Sc: 0.0000 0.0000 0.2420 [3 per cell]
Au: 0.0000 0.0000 0.6748 [3 per cell]
Br: 0.0390 0.5580 0.0073 [9 per cell]
Br: 0.1446 0.3471 0.8418 [9 per cell]

# 2
Below is CdFeSnTe3 after structural relaxation, with properties calculated at the PBE level.

Computed properties:
total DFT energy (no corrections)	-3.8207	eV/atom

Cell lengths 4.175, 13.948, 11.735 Å; angles 90.00, 90.00, 90.00 degrees
Space group Cmcm (No. 63)
Inequivalent atoms, fractional coordinates:
Cd: 0.000 0.000 0.000 [4 per cell]
Fe: 0.000 0.459 0.250 [4 per cell]
Sn: 0.000 0.214 0.750 [4 per cell]
Te: 0.000 0.080 0.250 [4 per cell]
Te: 0.000 0.355 0.064 [8 per cell]

# 3
Below is Fe3B after structural relaxation, with properties calculated at the PBE level.

Computed properties:
total DFT energy (no corrections)	-8.0596	eV/atom

Cell lengths 8.121, 2.853, 6.824 Å; angles 90.00, 90.00, 90.00 degrees
Space group Pnma (No. 62)
Inequivalent atoms, fractional coordinates:
Fe: 0.076 0.250 0.128 [4 per cell]
Fe: 0.115 0.750 0.445 [4 per cell]
Fe: 0.157 0.250 0.728 [4 per cell]
B: 0.193 0.750 0.950 [4 per cell]

# 4
Below is NpCuGe after structural relaxation, with properties calculated at the PBE level.

Computed properties:
total DFT energy (no corrections)	-6.4842	eV/atom

Cell lengths 6.514, 6.514, 6.514 Å; angles 90.00, 90.00, 90.00 degrees
Space group F-43m (No. 216)
Inequivalent atoms, fractional coordinates:
Np: 0.000 0.000 0.000 [4 per cell]
Cu: 0.250 0.250 0.750 [4 per cell]
Ge: 0.250 0.250 0.250 [4 per cell]

# 5
Below is TmTaPt after structural relaxation, with properties calculated at the PBE level.

Computed properties:
total DFT energy (no corrections)	-6.6802	eV/atom
energy relative to the elements	0.7808	eV per atom

Cell lengths 6.479, 6.479, 6.479 Å; angles 90.00, 90.00, 90.00 degrees
Space group F-43m (No. 216)
Inequivalent atoms, fractional coordinates:
Tm: 0.000 0.000 0.000 [4 per cell]
Ta: 0.250 0.250 0.250 [4 per cell]
Pt: 0.250 0.250 0.750 [4 per cell]

# 6
Below is BaAsOs after structural relaxation, with properties calculated at the PBE level.

Computed properties:
total DFT energy (no corrections)	-5.2537	eV/atom

Cell lengths 6.731, 6.731, 6.731 Å; angles 90.00, 90.00, 90.00 degrees
Space group F-43m (No. 216)
Inequivalent atoms, fractional coordinates:
Ba: 0.000 0.000 0.000 [4 per cell]
As: 0.000 0.000 0.500 [4 per cell]
Os: 0.250 0.250 0.750 [4 per cell]

# 7
Below is DyTm2Cu4Sn4 after structural relaxation, with properties calculated at the PBE level.

Computed properties:
total DFT energy (no corrections)	-4.5262	eV/atom

Cell lengths 4.419, 6.961, 14.611 Å; angles 90.00, 90.00, 90.00 degrees
Space group Immm (No. 71)
Inequivalent atoms, fractional coordinates:
Dy: 0.000 0.000 0.000 [2 per cell]
Tm: 0.000 0.500 0.130 [4 per cell]
Cu: 0.000 0.311 0.329 [8 per cell]
Sn: 0.000 0.000 0.217 [4 per cell]
Sn: 0.000 0.202 0.500 [4 per cell]

# 8
Below is Zr2Be2Pd after structural relaxation, with properties calculated at the PBE level.

Computed properties:
total DFT energy (no corrections)	-6.3562	eV/atom

Cell lengths 6.420, 6.420, 3.735 Å; angles 90.00, 90.00, 90.00 degrees
Space group P4/mbm (No. 127)
Inequivalent atoms, fractional coordinates:
Zr: 0.173 0.327 0.000 [4 per cell]
Be: 0.122 0.622 0.500 [4 per cell]
Pd: 0.000 0.000 0.500 [2 per cell]

# 9
Below is Ho2AuSe3 after structural relaxation, with properties calculated at the PBE level.

Computed properties:
total DFT energy (no corrections)	-5.1028	eV/atom

Cell lengths 10.158, 3.862, 13.969 Å; angles 90.00, 90.00, 90.00 degrees
Space group Pnma (No. 62)
Inequivalent atoms, fractional coordinates:
Ho: 0.012 0.250 0.249 [4 per cell]
Ho: 0.236 0.750 0.526 [4 per cell]
Au: 0.240 0.250 0.724 [4 per cell]
Se: 0.039 0.250 0.597 [4 per cell]
Se: 0.066 0.750 0.096 [4 per cell]
Se: 0.238 0.750 0.869 [4 per cell]

# 10
Below is PmCdAs after structural relaxation, with properties calculated at the PBE level.

Computed properties:
total DFT energy (no corrections)	-3.6557	eV/atom

Cell lengths 6.882, 6.882, 6.882 Å; angles 90.00, 90.00, 90.00 degrees
Space group F-43m (No. 216)
Inequivalent atoms, fractional coordinates:
Pm: 0.000 0.000 0.000 [4 per cell]
Cd: 0.250 0.250 0.750 [4 per cell]
As: 0.000 0.000 0.500 [4 per cell]

# 11
Below is LiTmCoTe3 after structural relaxation, with properties calculated at the PBE level.

Computed properties:
total DFT energy (no corrections)	-4.5456	eV/atom

Cell lengths 4.053, 14.230, 11.112 Å; angles 90.00, 90.00, 90.00 degrees
Space group Cmcm (No. 63)
Inequivalent atoms, fractional coordinates:
Li: 0.000 0.179 0.250 [4 per cell]
Tm: 0.000 0.000 0.000 [4 per cell]
Co: 0.000 0.474 0.750 [4 per cell]
Te: 0.000 0.085 0.750 [4 per cell]
Te: 0.000 0.355 0.573 [8 per cell]

# 12
Below is TmTlCoSe3 after structural relaxation, with properties calculated at the PBE level.

Computed properties:
total DFT energy (no corrections)	-4.9712	eV/atom

Cell lengths 8.436, 3.939, 10.403 Å; angles 90.00, 111.23, 90.00 degrees
Space group P2_1/m (No. 11)
Inequivalent atoms, fractional coordinates:
Tm: 0.189 0.250 0.144 [2 per cell]
Tl: 0.233 0.750 0.707 [2 per cell]
Co: 0.429 0.750 0.409 [2 per cell]
Se: 0.052 0.250 0.857 [2 per cell]
Se: 0.289 0.250 0.444 [2 per cell]
Se: 0.437 0.750 0.180 [2 per cell]

# 13
Below is LiLaCoAs after structural relaxation, with properties calculated at the PBE level.

Computed properties:
total DFT energy (no corrections)	-4.8533	eV/atom

Cell lengths 6.596, 6.596, 6.596 Å; angles 90.00, 90.00, 90.00 degrees
Space group F-43m (No. 216)
Inequivalent atoms, fractional coordinates:
Li: 0.000 0.000 0.000 [4 per cell]
La: 0.250 0.250 0.250 [4 per cell]
Co: 0.250 0.250 0.750 [4 per cell]
As: 0.000 0.000 0.500 [4 per cell]

# 14
Below is ScUSb after structural relaxation, with properties calculated at the PBE level.

Computed properties:
total DFT energy (no corrections)	-6.6564	eV/atom

Cell lengths 7.179, 7.179, 7.179 Å; angles 90.00, 90.00, 90.00 degrees
Space group F-43m (No. 216)
Inequivalent atoms, fractional coordinates:
Sc: 0.000 0.000 0.000 [4 per cell]
U: 0.250 0.250 0.750 [4 per cell]
Sb: 0.000 0.000 0.500 [4 per cell]

# 15
Below is LiCo2Sn after structural relaxation, with properties calculated at the PBE level.

Computed properties:
total DFT energy (no corrections)	-4.9746	eV/atom

Cell lengths 5.948, 5.948, 5.948 Å; angles 90.00, 90.00, 90.00 degrees
Space group F-43m (No. 216)
Inequivalent atoms, fractional coordinates:
Li: 0.000 0.000 0.000 [4 per cell]
Co: 0.000 0.000 0.500 [4 per cell]
Co: 0.250 0.250 0.750 [4 per cell]
Sn: 0.250 0.250 0.250 [4 per cell]

# 16
Below is K2RbTbF7 after structural relaxation, with properties calculated at the PBE level.

Computed properties:
total DFT energy (no corrections)	-4.8397	eV/atom

Cell lengths 8.195, 8.224, 6.424 Å; angles 90.00, 121.72, 90.00 degrees
Space group Cm (No. 8)
Inequivalent atoms, fractional coordinates:
K: 0.000 0.240 0.000 [4 per cell]
Rb: 0.488 0.000 0.561 [2 per cell]
Tb: 0.441 0.500 0.464 [2 per cell]
F: 0.112 0.000 0.293 [2 per cell]
F: 0.123 0.500 0.224 [2 per cell]
F: 0.150 0.181 0.726 [4 per cell]
F: 0.353 0.500 0.731 [2 per cell]
F: 0.363 0.261 0.275 [4 per cell]

# 17
Below is SmPaTc after structural relaxation, with properties calculated at the PBE level.

Computed properties:
total DFT energy (no corrections)	-7.2474	eV/atom
energy relative to the elements	0.9418	eV per atom

Cell lengths 6.612, 6.612, 6.612 Å; angles 90.00, 90.00, 90.00 degrees
Space group F-43m (No. 216)
Inequivalent atoms, fractional coordinates:
Sm: 0.000 0.000 0.000 [4 per cell]
Pa: 0.250 0.250 0.750 [4 per cell]
Tc: 0.250 0.250 0.250 [4 per cell]

# 18
Below is PtF4 after structural relaxation, with properties calculated at the PBE level.

Computed properties:
total DFT energy (no corrections)	-3.7746	eV/atom

Cell lengths 5.709, 6.353, 3.127 Å; angles 90.00, 90.00, 90.00 degrees
Space group Cmmm (No. 65)
Inequivalent atoms, fractional coordinates:
Pt: 0.000 0.000 0.000 [2 per cell]
F: 0.000 0.305 0.000 [4 per cell]
F: 0.218 0.000 0.500 [4 per cell]

# 19
Below is Cu3Ag after structural relaxation, with properties calculated at the PBE level.

Computed properties:
total DFT energy (no corrections)	-3.4094	eV/atom
energy relative to the elements	0.0844	eV per atom

Cell lengths 3.763, 3.763, 7.524 Å; angles 90.00, 90.00, 90.00 degrees
Space group I4/mmm (No. 139)
Inequivalent atoms, fractional coordinates:
Cu: 0.000 0.000 0.000 [2 per cell]
Cu: 0.000 0.500 0.250 [4 per cell]
Ag: 0.000 0.000 0.500 [2 per cell]

# 20
Below is LuZnSn after structural relaxation, with properties calculated at the PBE level.

Computed properties:
total DFT energy (no corrections)	-3.7538	eV/atom

Cell lengths 4.4659, 4.4659, 15.4858 Å; angles 90.00, 90.00, 120.00 degrees
Space group P6_3/mmc (No. 194)
Inequivalent atoms, fractional coordinates:
Lu: 0.0000 0.0000 0.0000 [2 per cell]
Lu: 0.0000 0.0000 0.2500 [2 per cell]
Zn: 0.3333 0.6667 0.1623 [4 per cell]
Sn: 0.3333 0.6667 0.6116 [4 per cell]

# 21
Below is GdHg2O4 after structural relaxation, with properties calculated at the PBE level.

Computed properties:
total DFT energy (no corrections)	-4.7105	eV/atom

Cell lengths 9.647, 9.647, 9.647 Å; angles 90.00, 90.00, 90.00 degrees
Space group Fd-3m (No. 227, origin choice 2)
Inequivalent atoms, fractional coordinates:
Gd: 0.125 0.125 0.125 [8 per cell]
Hg: 0.000 0.000 0.500 [16 per cell]
O: 0.006 0.006 0.744 [32 per cell]

# 22
Below is AcNiP after structural relaxation, with properties calculated at the PBE level.

Computed properties:
total DFT energy (no corrections)	-6.0772	eV/atom

Cell lengths 4.1182, 4.1182, 4.2413 Å; angles 90.00, 90.00, 120.00 degrees
Space group P-6m2 (No. 187)
Inequivalent atoms, fractional coordinates:
Ac: 0.0000 0.0000 0.0000 [1 per cell]
Ni: 0.3333 0.6667 0.5000 [1 per cell]
P: 0.6667 0.3333 0.5000 [1 per cell]

# 23
Below is Sm3Zr3Te2Os after structural relaxation, with properties calculated at the PBE level.

Computed properties:
total DFT energy (no corrections)	-6.7442	eV/atom

Cell lengths 8.2539, 8.2539, 3.7736 Å; angles 90.00, 90.00, 120.00 degrees
Space group P-62m (No. 189)
Inequivalent atoms, fractional coordinates:
Sm: 0.0000 0.7500 0.0000 [3 per cell]
Zr: 0.0000 0.4053 0.5000 [3 per cell]
Te: 0.3333 0.6667 0.0000 [2 per cell]
Os: 0.0000 0.0000 0.5000 [1 per cell]

# 24
Below is CsAgF2 after structural relaxation, with properties calculated at the PBE level.

Computed properties:
total DFT energy (no corrections)	-3.6372	eV/atom

Cell lengths 3.675, 17.357, 4.837 Å; angles 90.00, 90.00, 90.00 degrees
Space group Cmcm (No. 63)
Inequivalent atoms, fractional coordinates:
Cs: 0.000 0.079 0.250 [4 per cell]
Ag: 0.000 0.303 0.250 [4 per cell]
F: 0.000 0.288 0.750 [4 per cell]
F: 0.000 0.435 0.250 [4 per cell]